Arrangement a

# meta-GGA SCAN Tl2RuBr, single point on PBEsol structure
# magnetic moment	0.482	μB/atom
data_Tl2RuBr
_cell_length_a 4.328
_cell_length_b 4.328
_cell_length_c 9.484
_cell_angle_alpha 90.00
_cell_angle_beta 90.00
_cell_angle_gamma 90.00
_space_group_name_H-M_alt 'I 4/m m m'
_space_group_IT_number 139
_space_group_name_Hall '-I 4 2'
loop_
_atom_site_label
_atom_site_type_symbol
_atom_site_fract_x
_atom_site_fract_y
_atom_site_fract_z
Tl1 Tl 0.000 0.500 0.250
Ru1 Ru 0.000 0.000 0.000
Br1 Br 0.000 0.000 0.500

=====

Arrangement b

# meta-GGA SCAN Tl2RuBr, single point on PBEsol structure
# magnetic moment	0.000	μB/atom
data_Tl2RuBr
_cell_length_a 3.115
_cell_length_b 4.590
_cell_length_c 13.492
_cell_angle_alpha 90.00
_cell_angle_beta 90.00
_cell_angle_gamma 90.00
_space_group_name_H-M_alt 'I m m 2'
_space_group_IT_number 44
_space_group_name_Hall 'I 2 -2'
loop_
_atom_site_label
_atom_site_type_symbol
_atom_site_fract_x
_atom_site_fract_y
_atom_site_fract_z
Tl1 Tl 0.000 0.000 0.000
Tl2 Tl 0.000 0.500 0.176
Ru1 Ru 0.000 0.000 0.475
Br1 Br 0.000 0.500 0.826

=====

arrangement b comes first in stability; the runner-up is 31.3 kJ/mol of atoms higher.

=====

Arrangement a

# meta-GGA SCAN YRuBr2, single point on PBEsol structure
# magnetic moment	0.197	μB/atom
data_YRuBr2
_cell_length_a 3.695
_cell_length_b 4.274
_cell_length_c 12.930
_cell_angle_alpha 90.00
_cell_angle_beta 90.00
_cell_angle_gamma 90.00
_space_group_name_H-M_alt 'I m m m'
_space_group_IT_number 71
_space_group_name_Hall '-I 2 2'
loop_
_atom_site_label
_atom_site_type_symbol
_atom_site_fract_x
_atom_site_fract_y
_atom_site_fract_z
Y1 Y 0.000 0.000 0.000
Ru1 Ru 0.000 0.000 0.500
Br1 Br 0.000 0.500 0.149

=====

Arrangement b

# meta-GGA SCAN YRuBr2, single point on PBEsol structure
# magnetic moment	0.000	μB/atom
data_YRuBr2
_cell_length_a 3.965
_cell_length_b 3.763
_cell_length_c 6.945
_cell_angle_alpha 90.00
_cell_angle_beta 101.05
_cell_angle_gamma 90.00
_space_group_name_H-M_alt 'P 1 m 1'
_space_group_IT_number 6
_space_group_name_Hall 'P -2y'
loop_
_atom_site_label
_atom_site_type_symbol
_atom_site_fract_x
_atom_site_fract_y
_atom_site_fract_z
Y1 Y 0.000 0.000 0.000
Ru1 Ru 0.465 0.500 0.907
Br1 Br 0.366 0.000 0.664
Br2 Br 0.732 0.500 0.263

=====

arrangement b comes first in stability; the runner-up is 2.2 kJ/mol of atoms higher.